Entry from OQMD via LeMat-Bulk: a relaxed structure of LaPrSb2Pd2 (PBE).

Properties
Total DFT energy (no corrections) (eV/atom): -5.8329

abc: 4.6395 4.6395 8.0769
angles: 90.00 90.00 120.00
Atoms (fractional coordinates):
Pd: 0.3333 0.6667 0.4717
La: 0.0000 0.0000 0.2575
Pr: 0.0000 0.0000 0.7578
Pd: 0.6667 0.3333 0.9689
Sb: 0.3333 0.6667 0.0214
Sb: 0.6667 0.3333 0.5227